The following is a DFT calculation (PBE) of a relaxed structure of La2GdTl.

Geometry as POSCAR:
```
La2GdTl
1.0
5.7827 0.0000 0.0000
0.0000 5.7827 0.0000
0.0000 0.0000 3.8909
La Gd Tl
2 1 1
Direct
0.0000 0.5000 0.0000
0.5000 0.0000 0.0000
0.0000 0.0000 0.5000
0.5000 0.5000 0.5000
```

Summary:
The density of states at the Fermi level comes out at 5.98 states/eV per cell. As for the space group: P4/mmm (123). The energy relative to the lowest polymorph listed for this composition comes out at 6.8 meV per atom. The calculation puts the spin magnetization at 1.90 μB per atom. The calculation puts the formation energy at -153 meV per atom.